This record from the Open Quantum Materials Database describes a geometry-optimized LaBeCoSn structure. The functional is GGA-PBE.

Cell lengths 4.8382, 4.8382, 4.8382 Å; angles 60.00, 60.00, 60.00 degrees
Element x y z (fractional)
1 La 0.0000 0.0000 0.0000
2 Be 0.5000 0.5000 0.5000
3 Co 0.7500 0.7500 0.7500
4 Sn 0.2500 0.2500 0.2500

Values from the calculation:
Calculated volume (A^3/atom): 20.02
Calculated total energy (eV/atom): -4.6205



This record from the Open Quantum Materials Database describes a geometry-optimized LaZrBeCo structure. The functional is GGA-PBE.

Cell lengths 4.5770, 4.5770, 4.5770 Å; angles 60.00, 60.00, 60.00 degrees
Element x y z (fractional)
1 La 0.0000 0.0000 0.0000
2 Zr 0.2500 0.2500 0.2500
3 Be 0.5000 0.5000 0.5000
4 Co 0.7500 0.7500 0.7500

Values from the calculation:
Calculated volume (A^3/atom): 16.95
Calculated total energy (eV/atom): -5.7675



This record from the Open Quantum Materials Database describes a geometry-optimized LaZrBeCo structure. The functional is GGA-PBE.

Cell lengths 4.6160, 4.6160, 4.6160 Å; angles 60.00, 60.00, 60.00 degrees
Element x y z (fractional)
1 La 0.0000 0.0000 0.0000
2 Zr 0.2500 0.2500 0.2500
3 Be 0.7500 0.7500 0.7500
4 Co 0.5000 0.5000 0.5000

Values from the calculation:
Calculated volume (A^3/atom): 17.39
Calculated total energy (eV/atom): -5.7772



This record from the Open Quantum Materials Database describes a geometry-optimized LaZrBeCo structure. The functional is GGA-PBE.

Cell lengths 4.7522, 4.7522, 4.7522 Å; angles 60.00, 60.00, 60.00 degrees
Element x y z (fractional)
1 La 0.0000 0.0000 0.0000
2 Zr 0.5000 0.5000 0.5000
3 Be 0.7500 0.7500 0.7500
4 Co 0.2500 0.2500 0.2500

Values from the calculation:
Calculated volume (A^3/atom): 18.97
Calculated total energy (eV/atom): -5.8984



This record from the Open Quantum Materials Database describes a geometry-optimized LiBe2Co structure. The functional is GGA-PBE.

Cell lengths 3.6956, 3.6956, 3.6956 Å; angles 60.00, 60.00, 60.00 degrees
Element x y z (fractional)
1 Li 0.0000 0.0000 0.0000
2 Be 0.5000 0.5000 0.5000
3 Be 0.7500 0.7500 0.7500
4 Co 0.2500 0.2500 0.2500

Values from the calculation:
Calculated volume (A^3/atom): 8.92
Calculated total energy (eV/atom): -4.0603



This record from the Open Quantum Materials Database describes a geometry-optimized LiBeCoSb structure. The functional is GGA-PBE.

Cell lengths 4.1560, 4.1560, 4.1560 Å; angles 60.00, 60.00, 60.00 degrees
Element x y z (fractional)
1 Li 0.0000 0.0000 0.0000
2 Be 0.2500 0.2500 0.2500
3 Co 0.5000 0.5000 0.5000
4 Sb 0.7500 0.7500 0.7500

Values from the calculation:
Calculated volume (A^3/atom): 12.69
Calculated total energy (eV/atom): -4.2968



- Which of these has the lowest calculated total energy?
  number 4